No. 1
Here is a geometry-optimized LaDy6Tl4 structure from Alexandria via LeMat-Bulk. Energies are from PBE-GGA.

M_tot (μB per atom): 0.220
E_tot (eV per atom): -4.055
DOS(E_F) (states/eV/cell): 9.05
Space group: P-6m2

Lattice parameters (Å, degrees): 3.7884 10.1233 10.1233 120.00 90.00 90.00
Last column: magnetic moment on the atom in μB.
Element x y z (fractional)
Tl 0.5000 0.8355 0.1645  -0.01
Dy 0.0000 0.5394 0.0788  0.31
Tl 0.5000 0.8355 0.6710  -0.01
Tl 0.5000 0.3290 0.1645  -0.01
Dy 0.0000 0.9212 0.4606  0.31
Dy 0.5000 0.6149 0.8075  0.19
Dy 0.5000 0.1925 0.8075  0.19
Dy 0.5000 0.1925 0.3851  0.19
Dy 0.0000 0.5394 0.4606  0.31
La 0.0000 0.0000 0.0000  0.06
Tl 0.0000 0.3333 0.6667  -0.01



No. 2
Here is a geometry-optimized La12Dy7Tl structure from Alexandria via LeMat-Bulk. Energies are from PBE-GGA.

M_tot (μB per atom): 0.013
E_tot (eV per atom): -4.083
DOS(E_F) (states/eV/cell): 39.58
Space group: Im-3

Lattice parameters (Å, degrees): 10.1523 10.1523 10.1523 109.47 109.47 109.47
Element x y z (fractional)
La 0.0039 0.7725 0.2314
La 0.4589 0.2275 0.2314
La 0.9961 0.2275 0.7686
La 0.7686 0.9961 0.2275
La 0.7686 0.5411 0.7725
Dy 0.0000 0.5000 0.0000
La 0.2314 0.4589 0.2275
Dy 0.5000 0.0000 0.0000
La 0.2275 0.2314 0.4589
La 0.7725 0.7686 0.5411
Dy 0.5000 0.5000 0.5000
Dy 0.5000 0.5000 0.0000
La 0.5411 0.7725 0.7686
Dy 0.5000 0.0000 0.5000
Dy 0.0000 0.5000 0.5000
Dy 0.0000 0.0000 0.5000
La 0.2314 0.0039 0.7725
Tl 0.0000 0.0000 0.0000
La 0.7725 0.2314 0.0039
La 0.2275 0.7686 0.9961



- Among the records above, which one has the lowest DOS(E_F)?
  LaDy6Tl4



- Look up the E_tot of the first one.
  -4.055 eV per atom